Record 1
! PBE with a Hubbard U Sr3AlCo2O6, relaxed; values from VASP
&SYSTEM
  ibrav = 0, nat = 12, ntyp = 4
/
ATOMIC_SPECIES
Sr 87.62 Sr.upf
Al 26.98 Al.upf
Co 58.93 Co.upf
O 16.00 O.upf
ATOMIC_POSITIONS angstrom
Sr -3.8001 -0.5860 3.5892
Sr -3.0652 -2.5340 0.4861
Sr 0.0000 0.0000 0.0000
Al -3.0380 0.8574 0.6136
Co -5.7909 -1.7648 1.0366
Co -1.0744 -1.3552 3.0387
O -2.3092 -2.7870 3.2185
O -1.8958 -0.2548 1.7267
O -1.3397 -0.3687 4.6398
O -4.9694 -2.8652 2.3486
O -4.5561 -0.3330 0.8568
O -5.5256 -2.7513 -0.5645
CELL_PARAMETERS angstrom
-1.8511 -4.6173 -2.7137
1.0619 -0.2175 5.5619
-6.0761 1.7147 1.2271
! Calculated total energy = -6.07 eV per atom

Record 2
! PBE with a Hubbard U Sr2AlTlCo2O7, relaxed; values from VASP
&SYSTEM
  ibrav = 0, nat = 13, ntyp = 5
/
ATOMIC_SPECIES
Sr 87.62 Sr.upf
Al 26.98 Al.upf
Tl 204.38 Tl.upf
Co 58.93 Co.upf
O 16.00 O.upf
ATOMIC_POSITIONS angstrom
Sr 2.0275 1.9472 2.5141
Sr 3.0586 2.9280 9.0259
Al 2.5263 2.4036 5.7727
Tl 0.9998 1.1703 11.5238
Co 4.1291 3.9336 4.2624
Co 0.9240 0.8771 7.2792
O 2.1545 3.7689 4.5632
O 3.8489 1.9513 4.5410
O 2.8997 1.0612 7.0031
O 1.1920 2.8553 6.9903
O 4.1014 3.8401 2.1681
O 0.8602 0.7062 9.3781
O 2.9129 2.5015 11.5249
CELL_PARAMETERS angstrom
3.9035 0.0048 -0.0007
0.2162 3.9268 0.0103
0.9222 0.8473 11.5319
! Calculated total energy = -5.92 eV per atom

Record 3
! PBE with a Hubbard U Tb2AlCoO6, relaxed; values from VASP
&SYSTEM
  ibrav = 0, nat = 20, ntyp = 4
/
ATOMIC_SPECIES
Tb 158.93 Tb.upf
Al 26.98 Al.upf
Co 58.93 Co.upf
O 16.00 O.upf
ATOMIC_POSITIONS angstrom
Tb 3.9297 -3.3316 1.6900
Tb 0.2156 -6.6954 1.7183
Tb -2.6506 -7.1366 -0.5127
Tb 1.0636 -3.7728 -0.5409
Al -1.8280 -4.1741 0.2710
Al 2.4676 -1.0600 0.3176
Co -0.4246 -1.5959 -2.0270
Co 1.0642 -3.6382 2.6157
O 3.0901 -2.6672 -0.5379
O 1.7268 -7.0409 -0.2070
O -1.8110 -7.8010 1.7152
O -0.4477 -3.4273 1.3844
O 1.9662 -4.7906 1.3222
O 0.5567 -9.1445 1.6471
O -0.6871 -5.6776 -0.1449
O 0.7224 -1.3237 -0.4698
O 1.1087 -5.2940 -2.2254
O 2.3767 -7.2414 2.3888
O 0.1704 -5.1742 3.4028
O -1.0975 -3.2268 -1.2115
CELL_PARAMETERS angstrom
-0.8492 -3.1918 -4.0540
4.9351 -2.1200 0.6353
-2.8067 -5.1564 4.5961
! Calculated total energy = -7.57 eV per atom

Record 4
! PBE with a Hubbard U Ti2AlCoO, relaxed; values from VASP
&SYSTEM
  ibrav = 0, nat = 5, ntyp = 4
/
ATOMIC_SPECIES
Co 58.93 Co.upf
Al 26.98 Al.upf
O 16.00 O.upf
Ti 47.87 Ti.upf
ATOMIC_POSITIONS angstrom
Co 0.0000 2.0059 0.0000
Al 2.0396 2.0059 2.0396
O 0.0000 0.0000 0.0000
Ti 0.0000 0.0000 2.0396
Ti 2.0396 0.0000 0.0000
CELL_PARAMETERS angstrom
4.0791 0.0000 0.0000
0.0000 4.0118 0.0000
0.0000 0.0000 4.0791
! Calculated total energy = -6.83 eV per atom

Record 5
! PBE with a Hubbard U AlTl2CoO4, relaxed; values from VASP
&SYSTEM
  ibrav = 0, nat = 16, ntyp = 4
/
ATOMIC_SPECIES
Al 26.98 Al.upf
Tl 204.38 Tl.upf
Co 58.93 Co.upf
O 16.00 O.upf
ATOMIC_POSITIONS angstrom
Al 6.3896 3.1212 4.8953
Al 0.0000 0.0000 0.0000
Tl 2.5558 0.0000 6.5197
Tl 5.1117 0.0000 3.2710
Tl 6.3896 3.1212 8.1663
Tl 6.3896 3.1212 1.6244
Co 3.8338 3.1212 4.8953
Co 2.5558 0.0000 0.0000
O 3.7495 5.4102 1.0292
O 3.7495 0.8321 8.7615
O 9.0297 5.4102 8.7615
O 3.9180 0.8321 1.0292
O 5.1959 3.9533 3.8661
O 5.1959 2.2891 5.9246
O 7.5833 3.9533 5.9246
O 2.4716 2.2891 3.8661
CELL_PARAMETERS angstrom
5.1117 0.0000 0.0000
2.5558 6.2423 0.0000
2.5558 0.0000 9.7907
! Calculated total energy = -5.45 eV per atom

Record 6
! PBE with a Hubbard U AlTlCo2O, relaxed; values from VASP
&SYSTEM
  ibrav = 0, nat = 5, ntyp = 4
/
ATOMIC_SPECIES
Tl 204.38 Tl.upf
Co 58.93 Co.upf
Al 26.98 Al.upf
O 16.00 O.upf
ATOMIC_POSITIONS angstrom
Tl 0.0000 2.7678 0.0000
Co 0.0000 0.0000 2.2727
Co 2.2727 0.0000 0.0000
Al 0.0000 0.0000 0.0000
O 2.2727 2.7678 2.2727
CELL_PARAMETERS angstrom
4.5454 0.0000 0.0000
0.0000 5.5357 0.0000
0.0000 0.0000 4.5454
! Calculated total energy = -3.07 eV per atom

Record 7
! PBE with a Hubbard U Tm2AlCoO6, relaxed; values from VASP
&SYSTEM
  ibrav = 0, nat = 20, ntyp = 4
/
ATOMIC_SPECIES
Tm 168.93 Tm.upf
Al 26.98 Al.upf
Co 58.93 Co.upf
O 16.00 O.upf
ATOMIC_POSITIONS angstrom
Tm 0.1079 5.0349 1.8424
Tm 2.7041 3.0778 5.5261
Tm 5.0846 0.3736 5.5250
Tm 2.4884 2.3307 1.8413
Al 2.5962 0.0000 3.6837
Al 0.0000 2.7042 0.0000
Co 2.5684 0.0000 0.0036
Co 0.0278 2.7042 3.6801
O 1.5565 3.7686 0.3783
O 4.1527 4.3440 4.0620
O 3.6360 1.6398 6.9891
O 1.0397 1.0644 3.3054
O 1.5995 3.7965 3.2961
O 4.1958 4.3161 6.9798
O 3.5929 1.6119 4.0714
O 0.9967 1.0923 0.3877
O 4.6293 2.8683 1.8299
O 2.0887 5.2443 5.5064
O 0.5632 2.5401 5.5375
O 3.1038 0.1641 1.8610
CELL_PARAMETERS angstrom
5.1368 0.0000 0.0072
0.0000 5.4084 0.0000
0.0556 0.0000 7.3602
! Calculated total energy = -7.58 eV per atom

Record 8
! PBE with a Hubbard U AlZn2CoO4, relaxed; values from VASP
&SYSTEM
  ibrav = 0, nat = 8, ntyp = 4
/
ATOMIC_SPECIES
Al 26.98 Al.upf
Zn 65.41 Zn.upf
Co 58.93 Co.upf
O 16.00 O.upf
ATOMIC_POSITIONS angstrom
Al -2.6676 -3.0013 1.8561
Zn -1.9202 -2.3055 -1.1767
Zn 0.4241 -3.0241 1.0306
Co -0.0108 -0.0122 0.0075
O -1.5076 -3.3108 0.5233
O 1.5983 -3.3305 -0.6038
O -0.4725 -2.6958 -2.5537
O -2.5628 -1.2687 2.3088
CELL_PARAMETERS angstrom
-1.1528 -1.5873 -4.2235
3.5359 -3.0245 0.1912
-3.8646 -0.7015 3.8760
! Calculated total energy = -5.52 eV per atom

Record 9
! PBE with a Hubbard U AlZn2CoO, relaxed; values from VASP
&SYSTEM
  ibrav = 0, nat = 5, ntyp = 4
/
ATOMIC_SPECIES
Zn 65.41 Zn.upf
Co 58.93 Co.upf
Al 26.98 Al.upf
O 16.00 O.upf
ATOMIC_POSITIONS angstrom
Zn 0.0000 0.0000 2.4981
Zn 2.4981 0.0000 0.0000
Co 0.0000 0.0000 0.0000
Al 2.4981 1.7287 2.4981
O 0.0000 1.7287 0.0000
CELL_PARAMETERS angstrom
4.9961 0.0000 0.0000
0.0000 3.4574 0.0000
0.0000 0.0000 4.9961
! Calculated total energy = -3.16 eV per atom